Record 1
This record from the Alexandria database describes a relaxed structure of Sr2CuSi. The functional is PBE.

Geometry as POSCAR:
```
Sr2CuSi
1.0
5.8004 -0.6862 -0.4688
4.3303 3.9197 -0.4688
0.3657 0.1167 4.3912
Cu Si Sr
1 1 2
direct
0.4162 0.4162 0.6255 Cu
0.3306 0.3306 0.1253 Si
0.0218 0.0218 0.1247 Sr
0.7313 0.7313 0.6246 Sr
```

## Properties
crystal system: orthorhombic
formation energy without anion corrections: -1.056 eV per formula unit



Record 2
This record from the Alexandria database describes a relaxed structure of LiPrLuBe. The functional is PBE.

Geometry as POSCAR:
```
LiPrLuBe
1.0
5.0405 0.0000 0.0000
2.5203 4.3652 0.0000
2.5203 1.4551 4.1156
Pr Be Lu Li
1 1 1 1
direct
0.7500 0.7500 0.7500 Pr
0.5000 0.5000 0.5000 Be
0.2500 0.2500 0.2500 Lu
0.0000 0.0000 0.0000 Li
```

## Properties
crystal system: cubic
energy relative to the elements: 0.156 eV per atom



Record 3
This record from the Alexandria database describes a relaxed structure of K2NiAuBr6. The functional is PBE.

Geometry as POSCAR:
```
K2NiAuBr6
1.0
7.3460 0.0006 0.0030
0.0006 7.3459 0.0030
3.6758 3.6759 5.4697
K Ni Au Br
2 1 1 6
direct
0.7500 0.2500 0.4999 K
0.2500 0.7500 0.5001 K
0.0000 0.0000 0.0000 Ni
0.5000 0.5000 0.0000 Au
0.2200 0.2200 0.5608 Br
0.7544 0.7534 0.9995 Br
0.2467 0.7544 0.0000 Br
0.7533 0.2456 0.0000 Br
0.2456 0.2466 0.0005 Br
0.7800 0.7800 0.4392 Br
```

## Properties
crystal system: tetragonal
formation energy without anion corrections: -8.001 eV per formula unit



Record 4
This record from the Alexandria database describes a relaxed structure of LaTb2Nd6Dy3. The functional is PBE.

Geometry as POSCAR:
```
LaTb2Nd6Dy3
1.0
6.3063 -0.0012 0.0198
-3.1527 5.4617 0.0198
-1.0884 -1.8846 11.7960
La Tb Nd Dy
1 2 6 3
direct
0.0000 0.0000 0.0000 La
0.3335 0.6665 0.0000 Tb
0.6665 0.3335 0.0000 Tb
0.9156 0.5812 0.7473 Nd
0.7502 0.7502 0.2528 Nd
0.0844 0.4188 0.2527 Nd
0.5812 0.9156 0.7473 Nd
0.2498 0.2498 0.7472 Nd
0.4188 0.0844 0.2527 Nd
0.1670 0.8330 0.5000 Dy
0.8330 0.1670 0.5000 Dy
0.5000 0.5000 0.5000 Dy
```

## Properties
crystal system: monoclinic
energy relative to the elements: 0.016 eV per atom



Record 5
This record from the Alexandria database describes a relaxed structure of CeDyHgO2. The functional is PBE.

Geometry as POSCAR:
```
CeDyHgO2
1.0
3.9868 0.0000 0.0000
0.0000 3.9868 0.0000
-1.9934 -1.9934 6.2647
Ce Dy Hg O
1 1 1 2
direct
0.1558 0.1558 0.3116 Ce
0.8357 0.8357 0.6713 Dy
0.5038 0.5038 0.0077 Hg
0.7523 0.2523 0.5047 O
0.2523 0.7523 0.5047 O
```

## Properties
crystal system: tetragonal
formation energy without anion corrections: -12.314 eV per formula unit



Record 6
This record from the Alexandria database describes a relaxed structure of TbHgBi. The functional is PBE.

Geometry as POSCAR:
```
TbHgBi
1.0
4.3492 0.0000 0.0000
0.0000 4.8122 0.0000
0.0000 -2.4061 4.1675
Tb Bi Hg
1 1 1
direct
0.2860 0.3333 0.6667 Tb
0.6965 0.6667 0.3333 Bi
0.0175 0.0000 0.0000 Hg
```

## Properties
crystal system: trigonal
energy relative to the elements: -0.455 eV per atom
polymorph energy (0 for the lowest one): 0 meV/atom



Record 7
This record from the Alexandria database describes a relaxed structure of Tb3Si6Pt2Au. The functional is PBE.

Geometry as POSCAR:
```
Tb3Si6Pt2Au
1.0
5.2415 0.0000 0.0000
-2.6208 4.5393 0.0000
0.0000 0.0000 9.6608
Tb Si Pt Au
3 6 2 1
direct
0.3333 0.6667 0.5824 Tb
0.6667 0.3333 0.4176 Tb
0.0000 0.0000 0.0000 Tb
0.6661 0.8330 0.2731 Si
0.1670 0.3339 0.2731 Si
0.1670 0.8330 0.2731 Si
0.8330 0.6661 0.7269 Si
0.3339 0.1670 0.7269 Si
0.8330 0.1670 0.7269 Si
0.6667 0.3333 0.9282 Pt
0.3333 0.6667 0.0718 Pt
0.0000 0.0000 0.5000 Au
```

## Properties
crystal system: trigonal
formation energy without anion corrections: -5.646 eV per formula unit



Record 8
This record from the Alexandria database describes a relaxed structure of TbPmTmZn. The functional is PBE.

Geometry as POSCAR:
```
TbPmTmZn
1.0
-0.5365 3.1304 -4.3154
0.8827 -2.0043 -4.8901
-4.1001 -0.7565 -3.3655
Zn Tm Tb Pm
1 1 1 1
direct
0.0000 0.0000 0.0000 Zn
0.5000 0.5000 0.5000 Tm
0.7500 0.7500 0.7500 Tb
0.2500 0.2500 0.2500 Pm
```

## Properties
crystal system: cubic
energy relative to the elements: 0.023 eV per atom
polymorph energy (0 for the lowest one): 186 meV/atom



Record 9
This record from the Alexandria database describes a relaxed structure of BaNaSr2. The functional is PBE.

Geometry as POSCAR:
```
BaNaSr2
1.0
-0.6177 -4.1301 1.6473
4.3042 -0.1381 1.2678
-2.6299 4.1339 9.3786
Sr Ba Na
2 1 1
direct
0.0000 0.0000 0.7861 Sr
0.0000 0.0000 0.2139 Sr
0.5000 0.5000 0.5000 Ba
0.5000 0.5000 0.0000 Na
```

## Properties
crystal system: tetragonal
energy relative to the elements: 0.017 eV per atom
polymorph energy (0 for the lowest one): 7 meV/atom



Record 10
This record from the Alexandria database describes a relaxed structure of Tc2MoRh. The functional is PBE.

Geometry as POSCAR:
```
Tc2MoRh
1.0
3.2570 0.0000 0.0000
0.0000 3.2570 0.0000
0.0000 0.0000 5.6742
Mo Rh Tc
1 1 2
direct
0.0000 0.0000 0.5061 Mo
0.5000 0.5000 0.7405 Rh
0.0000 0.0000 0.0172 Tc
0.5000 0.5000 0.2361 Tc
```

## Properties
crystal system: tetragonal
energy relative to the elements: 0.178 eV per atom
polymorph energy (0 for the lowest one): 244 meV/atom



Record 11
This record from the Alexandria database describes a relaxed structure of PmSmDyZr. The functional is PBE.

Geometry as POSCAR:
```
PmSmDyZr
1.0
5.5530 0.0000 0.0000
2.7765 4.8090 0.0000
2.7765 1.6030 4.5340
Pm Zr Sm Dy
1 1 1 1
direct
0.2500 0.2500 0.2500 Pm
0.0000 0.0000 0.0000 Zr
0.5000 0.5000 0.5000 Sm
0.7500 0.7500 0.7500 Dy
```

## Properties
crystal system: cubic
energy relative to the elements: 0.241 eV per atom



Number 1: total magnetic moment 0.0 μB/f.u.. Number 2: total magnetic moment 0.0 μB/f.u.. Number 3: total magnetic moment 0.1 μB/f.u.. Number 4: total magnetic moment 0.0 μB/f.u.. Number 5: total magnetic moment 0.7 μB/f.u.. Number 6: total magnetic moment 0.0 μB/f.u.. Number 7: total magnetic moment 0.0 μB/f.u.. Number 8: total magnetic moment 0.0 μB/f.u.. Number 9: total magnetic moment 0.0 μB/f.u.. Number 10: total magnetic moment 0.0 μB/f.u.. Number 11: total magnetic moment 1.9 μB/f.u..